Computed, not measured: a relaxed structure of Pr2NdY6Ho3 at the PBE-GGA level of DFT.

a b c (Å): 6.2329 10.7881 11.8684
angles (deg): 90.00 100.04 90.00
With the nearest neighbours (Å) after each atom.
Space group C2/m (No. 12)
Inequivalent atoms, fractional coordinates:
Pr  0.0000  0.1667  0.0000 (multiplicity 4)  3 Nd 3.60, 3 Pr 3.60, 6 Y 3.62-3.63
Nd  0.0000  0.5000  0.0000 (multiplicity 2)  6 Pr 3.60, 6 Y 3.62-3.63
Y  0.2483  0.1666  0.7457 (multiplicity 8)  3 Ho 3.54, 6 Y 3.59-3.60, 2 Pr 3.62-3.63, 1 Nd 3.63
Y  0.2480  0.5000  0.7457 (multiplicity 4)  3 Ho 3.54, 6 Y 3.60, 1 Nd 3.62, 2 Pr 3.63
Ho  0.0000  0.0000  0.5000 (multiplicity 2)  6 Y 3.54, 6 Ho 3.60
Ho  0.0000  0.3333  0.5000 (multiplicity 4)  6 Y 3.54, 6 Ho 3.60

Values from the calculation:
* E: -133.22 eV per cell
* magnetization: 0.00 μB per atom
* ΔE_f: 0.0197 eV per atom
* D(E_F): 17.08 states/eV/f.u.



Computed, not measured: a relaxed structure of SnOsRuN at the PBE-GGA level of DFT.

a b c (Å): 3.8793 4.0012 4.1763
angles (deg): 90.00 90.00 90.00
With the nearest neighbours (Å) after each atom.
Space group Pmm2 (No. 25)
Inequivalent atoms, fractional coordinates:
Sn  0.0000  0.0000  0.0000 (multiplicity 1)  4 Ru 2.71-2.99, 4 Os 2.79-3.00
Os  0.0000  0.5000  0.4649 (multiplicity 1)  2 N 1.94
Ru  0.5000  0.0000  0.5457 (multiplicity 1)  2 N 2.04
N  0.5000  0.5000  0.4555 (multiplicity 1)  2 Os 1.94, 2 Ru 2.04

Values from the calculation:
* E: -31.78 eV per cell
* magnetization: 0.00 μB per atom
* energy above the lowest structure with this stoichiometry: 0 meV per atom
* D(E_F): 1.71 states/eV/f.u.



Computed, not measured: a relaxed structure of NbV4S at the PBE-GGA level of DFT.

a b c (Å): 5.3138 5.6523 6.6269
angles (deg): 107.61 107.46 90.07
With the nearest neighbours (Å) after each atom.
Space group P-1 (No. 2)
Inequivalent atoms, fractional coordinates:
Nb  0.0902  0.2201  0.4618 (multiplicity 2)  7 V 2.66-2.89, 1 Nb 2.90
V  0.1118  0.1318  0.9306 (multiplicity 2)  2 S 2.12-2.16
V  0.3068  0.5930  0.8413 (multiplicity 2)  2 S 2.31-2.32
V  0.3128  0.5779  0.3523 (multiplicity 2)  1 S 2.34
V  0.4897  0.9984  0.3224 (multiplicity 2)  1 S 2.16, 1 V 2.32
S  0.0000  0.5000  0.0000 (multiplicity 1)  6 V 2.12-2.34
S  0.5000  0.0000  0.0000 (multiplicity 1)  6 V 2.16-2.31

Values from the calculation:
* E: -102.34 eV per cell
* magnetization: 0.00 μB per atom
* D(E_F): 5.51 states/eV/f.u.



Computed, not measured: a relaxed structure of SrCuH2 at the PBE-GGA level of DFT.

a b c (Å): 6.0697 6.0697 6.0697
angles (deg): 90.00 90.00 90.00
With the nearest neighbours (Å) after each atom.
Space group Fm-3m (No. 225)
Inequivalent atoms, fractional coordinates:
Sr  0.0000  0.0000  0.0000 (multiplicity 4)  8 H 2.63
Cu  0.0000  0.0000  0.5000 (multiplicity 4)  8 H 2.63
H  0.2500  0.2500  0.2500 (multiplicity 8)  4 Cu 2.63, 4 Sr 2.63

Values from the calculation:
* E: -49.13 eV per cell
* magnetization: 0.00 μB per atom
* energy above the lowest structure with this stoichiometry: 105 meV per atom
* D(E_F): 0.64 states/eV/f.u.



Computed, not measured: a relaxed structure of SrBiW2I at the PBE-GGA level of DFT.

a b c (Å): 5.4901 5.4901 6.0728
angles (deg): 90.00 90.00 90.00
With the nearest neighbours (Å) after each atom.
Space group P4/mmm (No. 123)
Inequivalent atoms, fractional coordinates:
Sr  0.0000  0.0000  0.0000 (multiplicity 1)  4 W 2.75, 2 Bi 3.04
Bi  0.0000  0.0000  0.5000 (multiplicity 1)  2 Sr 3.04
W  0.0000  0.5000  0.0000 (multiplicity 2)  2 Sr 2.75
I  0.5000  0.5000  0.5000 (multiplicity 1)  4 Bi 3.88, 8 W 4.09

Values from the calculation:
* E: -18.30 eV per cell
* magnetization: 1.22 μB per atom
* D(E_F): 6.93 states/eV/f.u.



Computed, not measured: a relaxed structure of OsWS at the PBE-GGA level of DFT.

a b c (Å): 12.2287 2.9315 5.1260
angles (deg): 90.00 90.00 90.00
With the nearest neighbours (Å) after each atom.
Space group Amm2 (No. 38)
Inequivalent atoms, fractional coordinates:
Os  0.1688  0.0000  0.0000 (multiplicity 4)  3 W 2.67-2.68, 2 S 2.77, 6 Os 2.93-2.95
W  0.0000  0.0000  0.3298 (multiplicity 2)  6 Os 2.67-2.68, 6 W 2.93-2.95
W  0.5000  0.0000  0.2182 (multiplicity 2)  6 S 2.40-2.42
S  0.3604  0.0000  0.5465 (multiplicity 4)  3 W 2.40-2.42

Values from the calculation:
* E: -111.40 eV per cell
* magnetization: 0.00 μB per atom
* D(E_F): 2.10 states/eV/f.u.



Computed, not measured: a relaxed structure of Y2Zn6Ag9 at the PBE-GGA level of DFT.

a b c (Å): 5.5727 5.5727 13.1127
angles (deg): 90.00 90.00 120.00
With the nearest neighbours (Å) after each atom.
Space group P6/mmm (No. 191)
Inequivalent atoms, fractional coordinates:
Y  0.0000  0.0000  0.1650 (multiplicity 2)  6 Zn 3.22, 12 Ag 3.53-3.55
Zn  0.3333  0.6667  0.1659 (multiplicity 4)  6 Ag 2.71
Zn  0.3333  0.6667  0.5000 (multiplicity 2)  6 Ag 2.72
Ag  0.0000  0.5000  0.0000 (multiplicity 3)  4 Zn 2.71, 4 Ag 2.79
Ag  0.0000  0.5000  0.3323 (multiplicity 6)  4 Zn 2.71-2.72, 4 Ag 2.79

Values from the calculation:
* E: -47.10 eV per cell
* magnetization: 0.00 μB per atom
* ΔE_f: -0.0510 eV per atom
* D(E_F): 6.51 states/eV/f.u.



Computed, not measured: a relaxed structure of Rb2ZnCrS4 at the PBE-GGA level of DFT.

a b c (Å): 5.7007 13.6279 23.8947
angles (deg): 90.00 90.00 90.00
With the nearest neighbours (Å) after each atom.
Space group Fddd (No. 70, origin choice 2)
Inequivalent atoms, fractional coordinates:
Rb  0.1250  0.1250  0.3031 (multiplicity 16)  8 S 3.51-3.68
Zn  0.1250  0.1250  0.1250 (multiplicity 8)  4 S 2.34
Cr  0.1250  0.1250  0.6250 (multiplicity 8)  4 S 2.20
S  0.1057  0.2819  0.8234 (multiplicity 32)  1 Cr 2.20, 1 Zn 2.34

Values from the calculation:
* E: -292.74 eV per cell
* magnetization: 0.25 μB per atom



Computed, not measured: a relaxed structure of MnCr2Ir at the PBE-GGA level of DFT.

a b c (Å): 2.8867 4.2390 8.2430
angles (deg): 90.00 90.00 90.00
With the nearest neighbours (Å) after each atom.
Space group Imm2 (No. 44)
Inequivalent atoms, fractional coordinates:
Mn  0.0000  0.0000  0.0000 (multiplicity 2)  6 Cr 2.48-2.58, 2 Ir 2.67
Cr  0.0000  0.0000  0.4645 (multiplicity 2)  2 Cr 2.32, 4 Mn 2.58
Cr  0.0000  0.5000  0.7444 (multiplicity 2)  2 Cr 2.32, 2 Mn 2.48, 4 Ir 2.57
Ir  0.0000  0.5000  0.2271 (multiplicity 2)  6 Cr 2.57-2.60, 4 Mn 2.67-2.83

Values from the calculation:
* E: -74.13 eV per cell
* magnetization: 0.44 μB per atom
* ΔE_f: 0.0526 eV per atom
* D(E_F): 5.25 states/eV/f.u.



Computed, not measured: a relaxed structure of AsWS at the PBE-GGA level of DFT.

a b c (Å): 5.6683 3.1053 7.3356
angles (deg): 90.00 94.20 90.00
With the nearest neighbours (Å) after each atom.
Space group P2_1/m (No. 11)
Inequivalent atoms, fractional coordinates:
As  0.0985  0.2500  0.2536 (multiplicity 2)  3 W 2.61-2.64
W  0.2531  0.7500  0.9962 (multiplicity 2)  3 S 2.38-2.46, 3 As 2.61-2.64
S  0.3967  0.2500  0.7855 (multiplicity 2)  3 W 2.38-2.46

Values from the calculation:
* E: -44.58 eV per cell
* magnetization: 0.00 μB per atom
* D(E_F): 1.28 states/eV/f.u.



Computed, not measured: a relaxed structure of Rb2HoF6 at the PBE-GGA level of DFT.

a b c (Å): 4.0333 6.6396 12.9186
angles (deg): 90.00 90.00 90.00
With the nearest neighbours (Å) after each atom.
Space group Immm (No. 71)
Inequivalent atoms, fractional coordinates:
Rb  0.0000  0.0000  0.1685 (multiplicity 4)  8 F 2.82-3.01
Ho  0.0000  0.0000  0.5000 (multiplicity 2)  8 F 2.23-2.37
F  0.0000  0.2097  0.3655 (multiplicity 8)  1 Ho 2.23
F  0.0000  0.3125  0.0000 (multiplicity 4)  2 Ho 2.37, 1 F 2.49

Values from the calculation:
* E: -90.68 eV per cell
* magnetization: 0.12 μB per atom
* D(E_F): 9.17 states/eV/f.u.



Computed, not measured: a relaxed structure of CsCeTeSe at the PBE-GGA level of DFT.

a b c (Å): 4.5452 4.5452 26.3723
angles (deg): 90.00 90.00 120.00
With the nearest neighbours (Å) after each atom.
Space group R3m (No. 160, hexagonal axes)
Inequivalent atoms, fractional coordinates:
Cs  0.0000  0.0000  0.0000 (multiplicity 3)  3 Te 3.77, 3 Se 3.78
Ce  0.0000  0.0000  0.1604 (multiplicity 3)  3 Se 3.03, 3 Te 3.21
Te  0.0000  0.0000  0.5639 (multiplicity 3)  3 Ce 3.21
Se  0.0000  0.0000  0.7700 (multiplicity 3)  3 Ce 3.03

Values from the calculation:
* E: -57.94 eV per cell
* magnetization: 0.25 μB per atom
* D(E_F): 6.37 states/eV/f.u.



Computed, not measured: a relaxed structure of AlSn2Rh2 at the PBE-GGA level of DFT.

a b c (Å): 6.7449 6.7449 3.9758
angles (deg): 90.00 90.00 90.00
With the nearest neighbours (Å) after each atom.
Space group P4/mbm (No. 127)
Inequivalent atoms, fractional coordinates:
Al  0.0000  0.0000  0.0000 (multiplicity 2)  4 Rh 2.56
Sn  0.1569  0.3431  0.5000 (multiplicity 4)  6 Rh 2.69-2.89, 1 Sn 2.99
Rh  0.1531  0.6531  0.0000 (multiplicity 4)  2 Al 2.56, 2 Sn 2.69

Values from the calculation:
* E: -56.69 eV per cell
* magnetization: 0.00 μB per atom
* ΔE_f: -0.3792 eV per atom
* D(E_F): 4.01 states/eV/f.u.



Computed, not measured: a relaxed structure of BaSbPb2 at the PBE-GGA level of DFT.

a b c (Å): 3.5553 5.8227 6.5901
angles (deg): 90.00 90.06 90.00
With the nearest neighbours (Å) after each atom.
Space group Pm (No. 6)
Inequivalent atoms, fractional coordinates:
Ba  0.0000  0.0000  0.0000 (multiplicity 1)  2 Ba 3.56, 8 Pb 3.68-3.86, 4 Sb 3.71-3.72
Sb  0.5004  0.5000  0.7769 (multiplicity 1)  4 Pb 3.26-3.40, 2 Sb 3.56
Pb  0.4978  0.0000  0.5115 (multiplicity 1)  4 Pb 3.31-3.56, 2 Sb 3.40, 2 Ba 3.68
Pb  0.5033  0.5000  0.2722 (multiplicity 1)  2 Sb 3.26-3.33, 4 Pb 3.31-3.56

Values from the calculation:
* E: -14.74 eV per cell
* magnetization: 0.00 μB per atom
* D(E_F): 2.02 states/eV/f.u.



Computed, not measured: a relaxed structure of ReH2Au at the PBE-GGA level of DFT.

a b c (Å): 5.4747 5.4747 5.4747
angles (deg): 90.00 90.00 90.00
With the nearest neighbours (Å) after each atom.
Space group Fm-3m (No. 225)
Inequivalent atoms, fractional coordinates:
Re  0.0000  0.0000  0.0000 (multiplicity 4)  8 H 2.37
H  0.2500  0.2500  0.2500 (multiplicity 8)  4 Au 2.37, 4 Re 2.37
Au  0.0000  0.0000  0.5000 (multiplicity 4)  8 H 2.37

Values from the calculation:
* E: -71.48 eV per cell
* magnetization: 0.45 μB per atom
* energy above the lowest structure with this stoichiometry: 663 meV per atom
* D(E_F): 4.16 states/eV/f.u.



Computed, not measured: a relaxed structure of Tl4InI5 at the PBE-GGA level of DFT.

a b c (Å): 11.1959 11.1959 7.0804
angles (deg): 90.00 90.00 90.00
With the nearest neighbours (Å) after each atom.
Space group I4 (No. 79)
Inequivalent atoms, fractional coordinates:
Tl  0.0991  0.3002  0.0000 (multiplicity 8)  6 I 3.54-3.55
In  0.0000  0.0000  0.5009 (multiplicity 2)  6 I 3.52-3.55
I  0.0000  0.0000  0.9994 (multiplicity 2)  2 In 3.53-3.55, 4 Tl 3.54
I  0.0995  0.2981  0.5001 (multiplicity 8)  1 In 3.52, 5 Tl 3.54-3.55

Values from the calculation:
* E: -52.36 eV per cell
* magnetization: 0.00 μB per atom
* D(E_F): 0.00 states/eV/f.u.



Computed, not measured: a relaxed structure of MgTc2Pb at the PBE-GGA level of DFT.

a b c (Å): 3.0598 3.0598 26.8155
angles (deg): 90.00 90.00 120.00
With the nearest neighbours (Å) after each atom.
Space group R-3m (No. 166, hexagonal axes)
Inequivalent atoms, fractional coordinates:
Mg  0.0000  0.0000  0.0000 (multiplicity 3)  6 Tc 2.86, 6 Mg 3.06
Tc  0.0000  0.0000  0.2494 (multiplicity 6)  3 Pb 2.84, 3 Mg 2.86, 6 Tc 3.06
Pb  0.0000  0.0000  0.5000 (multiplicity 3)  6 Tc 2.84, 6 Pb 3.06

Values from the calculation:
* E: -69.81 eV per cell
* magnetization: 0.00 μB per atom
* energy above the lowest structure with this stoichiometry: 569 meV per atom
* ΔE_f: 0.6912 eV per atom
* D(E_F): 2.86 states/eV/f.u.



Computed, not measured: a relaxed structure of GaAs2I at the PBE-GGA level of DFT.

a b c (Å): 6.9572 6.9572 9.5988
angles (deg): 90.00 90.00 90.00
With the nearest neighbours (Å) after each atom.
Space group I-42d (No. 122)
Inequivalent atoms, fractional coordinates:
Ga  0.0000  0.0000  0.0000 (multiplicity 4)  4 As 2.49
As  0.1895  0.2500  0.1250 (multiplicity 8)  2 Ga 2.49
I  0.0000  0.0000  0.5000 (multiplicity 4)  4 As 3.02

Values from the calculation:
* E: -50.17 eV per cell
* magnetization: 0.00 μB per atom
* energy above the lowest structure with this stoichiometry: 0 meV per atom
* D(E_F): 0.90 states/eV/f.u.



Computed, not measured: a relaxed structure of Zr3HgN at the PBE-GGA level of DFT.

a b c (Å): 11.9588 3.2914 9.4934
angles (deg): 90.00 91.38 90.00
With the nearest neighbours (Å) after each atom.
Space group Cm (No. 8)
Inequivalent atoms, fractional coordinates:
Zr  0.0000  0.0000  0.0000 (multiplicity 2)  4 N 2.28-2.32
Zr  0.0025  0.0000  0.4402 (multiplicity 2)  3 Zr 2.92-3.15, 3 Hg 3.00-3.01
Zr  0.1186  0.0000  0.7146 (multiplicity 2)  2 N 2.20
Zr  0.2431  0.5000  0.9567 (multiplicity 2)  3 N 2.25-2.29
Zr  0.3444  0.0000  0.2339 (multiplicity 2)  1 N 2.26
Zr  0.3928  0.0000  0.7423 (multiplicity 2)  2 N 2.33-2.46
Hg  0.1229  0.5000  0.2274 (multiplicity 2)  7 Zr 2.97-3.12, 3 Hg 3.02-3.29
Hg  0.2570  0.5000  0.5009 (multiplicity 2)  7 Zr 3.01-3.23, 3 Hg 3.02-3.29
N  0.0685  0.5000  0.8532 (multiplicity 2)  6 Zr 2.20-2.33
N  0.3679  0.0000  0.9988 (multiplicity 2)  6 Zr 2.25-2.46

Values from the calculation:
* E: -152.54 eV per cell
* magnetization: 0.00 μB per atom
* D(E_F): 3.98 states/eV/f.u.



Computed, not measured: a relaxed structure of P2AuS2 at the PBE-GGA level of DFT.

a b c (Å): 15.3502 3.3509 4.5187
angles (deg): 90.00 103.15 90.00
With the nearest neighbours (Å) after each atom.
Space group Cm (No. 8)
Inequivalent atoms, fractional coordinates:
P  0.0000  0.0000  0.0000 (multiplicity 2)  1 S 2.13
P  0.2227  0.0000  0.8634 (multiplicity 2)  2 S 2.17
Au  0.4467  0.0000  0.6217 (multiplicity 2)  2 P 2.40, 2 S 2.49
S  0.1915  0.5000  0.5527 (multiplicity 2)  2 P 2.17
S  0.3902  0.5000  0.2153 (multiplicity 2)  1 P 2.13

Values from the calculation:
* E: -43.42 eV per cell
* magnetization: 0.00 μB per atom
* energy above the lowest structure with this stoichiometry: 149 meV per atom
* D(E_F): 1.17 states/eV/f.u.